Entry 1:
An optimized crystal structure of Li6B3SbO9. Source: Alexandria, functional PBEsol.

Lattice parameters (Å, degrees): 7.0850 16.6966 6.6996 90.00 103.57 90.00
Element x y z (fractional)
1 Li 0.0425 0.0321 0.1692
2 Li 0.0425 0.4679 0.6692
3 Li 0.0715 0.7051 0.0727
4 Li 0.0715 0.7949 0.5727
5 Li 0.2012 0.5380 0.0634
6 Li 0.2012 0.9620 0.5634
7 Li 0.2167 0.2091 0.8542
8 Li 0.2167 0.2909 0.3542
9 Li 0.3619 0.0500 0.8987
10 Li 0.3619 0.4500 0.3987
11 Li 0.4271 0.0085 0.3246
12 Li 0.4271 0.4915 0.8246
13 Li 0.5729 0.5085 0.1754
14 Li 0.5729 0.9915 0.6754
15 Li 0.6381 0.5500 0.6013
16 Li 0.6381 0.9500 0.1013
17 Li 0.7833 0.7091 0.6458
18 Li 0.7833 0.7909 0.1458
19 Li 0.7988 0.0380 0.4366
20 Li 0.7988 0.4620 0.9366
21 Li 0.9285 0.2051 0.4273
22 Li 0.9285 0.2949 0.9273
23 Li 0.9575 0.5321 0.3308
24 Li 0.9575 0.9679 0.8308
25 B 0.0577 0.6087 0.6844
26 B 0.0577 0.8913 0.1844
27 B 0.2054 0.1187 0.5003
28 B 0.2054 0.3813 0.0003
29 B 0.4172 0.6377 0.3727
30 B 0.4172 0.8623 0.8727
31 B 0.5828 0.1377 0.1273
32 B 0.5828 0.3623 0.6273
33 B 0.7946 0.6187 0.9997
34 B 0.7946 0.8813 0.4997
35 B 0.9423 0.1087 0.8156
36 B 0.9423 0.3913 0.3156
37 Sb 0.4163 0.6822 0.8431
38 Sb 0.4163 0.8178 0.3431
39 Sb 0.5837 0.1822 0.6569
40 Sb 0.5837 0.3178 0.1569
41 O 0.0239 0.0930 0.4027
42 O 0.0239 0.4070 0.9027
43 O 0.0765 0.6909 0.7090
44 O 0.0765 0.8091 0.2090
45 O 0.1076 0.0711 0.9196
46 O 0.1076 0.4289 0.4196
47 O 0.2219 0.5630 0.7700
48 O 0.2219 0.9370 0.2700
49 O 0.2394 0.1999 0.5495
50 O 0.2394 0.3001 0.0495
51 O 0.3486 0.6955 0.2277
52 O 0.3486 0.8045 0.7277
53 O 0.3612 0.0658 0.5547
54 O 0.3612 0.4342 0.0547
55 O 0.4165 0.5585 0.3283
56 O 0.4165 0.9415 0.8283
57 O 0.4928 0.1630 0.9257
58 O 0.4928 0.3370 0.4257
59 O 0.5072 0.6630 0.5743
60 O 0.5072 0.8370 0.0743
61 O 0.5835 0.0585 0.1717
62 O 0.5835 0.4415 0.6717
63 O 0.6388 0.5658 0.9453
64 O 0.6388 0.9342 0.4453
65 O 0.6514 0.1955 0.2723
66 O 0.6514 0.3045 0.7723
67 O 0.7606 0.6999 0.9505
68 O 0.7606 0.8001 0.4505
69 O 0.7781 0.0630 0.7300
70 O 0.7781 0.4370 0.2300
71 O 0.8924 0.5711 0.5804
72 O 0.8924 0.9289 0.0804
73 O 0.9235 0.1909 0.7910
74 O 0.9235 0.3091 0.2910
75 O 0.9761 0.5930 0.0973
76 O 0.9761 0.9070 0.5973

Crystal system ... monoclinic

***

Entry 2:
An optimized crystal structure of Li2B8SeO15. Source: Alexandria, functional PBEsol.

Lattice parameters (Å, degrees): 8.6969 16.2543 8.4670 90.00 95.14 90.00
Element x y z (fractional)
1 Li 0.1162 0.0000 0.1357
2 Li 0.1162 0.5000 0.6357
3 Li 0.3593 0.1416 0.5010
4 Li 0.3593 0.3584 0.0010
5 Li 0.6407 0.6416 0.9990
6 Li 0.6407 0.8584 0.4990
7 Li 0.8838 0.0000 0.8643
8 Li 0.8838 0.5000 0.3643
9 B 0.0288 0.1844 0.4366
10 B 0.0288 0.3156 0.9366
11 B 0.0912 0.0700 0.6299
12 B 0.0912 0.4300 0.1299
13 B 0.1734 0.6098 0.9346
14 B 0.1734 0.8902 0.4346
15 B 0.3412 0.5022 0.2197
16 B 0.3412 0.9978 0.7197
17 B 0.3879 0.1787 0.9594
18 B 0.3879 0.3213 0.4594
19 B 0.3994 0.2329 0.2216
20 B 0.3994 0.2671 0.7216
21 B 0.4058 0.5422 0.8363
22 B 0.4058 0.9578 0.3363
23 B 0.4335 0.0837 0.1782
24 B 0.4335 0.4163 0.6782
25 B 0.5665 0.5837 0.3218
26 B 0.5665 0.9163 0.8218
27 B 0.5942 0.0422 0.6637
28 B 0.5942 0.4578 0.1637
29 B 0.6006 0.7329 0.2784
30 B 0.6006 0.7671 0.7784
31 B 0.6121 0.6787 0.5406
32 B 0.6121 0.8213 0.0406
33 B 0.6588 0.0022 0.2803
34 B 0.6588 0.4978 0.7803
35 B 0.8266 0.1098 0.5654
36 B 0.8266 0.3902 0.0654
37 B 0.9088 0.5700 0.8701
38 B 0.9088 0.9300 0.3701
39 B 0.9712 0.6844 0.0634
40 B 0.9712 0.8156 0.5634
41 Se 0.0588 0.6731 0.4024
42 Se 0.0588 0.8269 0.9024
43 Se 0.9412 0.1731 0.0976
44 Se 0.9412 0.3269 0.5976
45 O 0.0277 0.5797 0.4720
46 O 0.0277 0.9203 0.9720
47 O 0.0628 0.2283 0.9784
48 O 0.0628 0.2717 0.4784
49 O 0.0651 0.5618 0.8445
50 O 0.0651 0.9382 0.3445
51 O 0.0681 0.1710 0.2715
52 O 0.0681 0.3290 0.7715
53 O 0.1311 0.6660 0.0398
54 O 0.1311 0.8340 0.5398
55 O 0.1384 0.1296 0.5327
56 O 0.1384 0.3704 0.0327
57 O 0.1847 0.0121 0.7055
58 O 0.1847 0.4879 0.2055
59 O 0.3271 0.6005 0.9145
60 O 0.3271 0.8995 0.4145
61 O 0.3388 0.0148 0.2352
62 O 0.3388 0.4852 0.7352
63 O 0.3812 0.1013 0.0141
64 O 0.3812 0.3987 0.5141
65 O 0.3818 0.1946 0.8004
66 O 0.3818 0.3054 0.3004
67 O 0.4022 0.5640 0.3089
68 O 0.4022 0.9360 0.8089
69 O 0.4082 0.2458 0.0608
70 O 0.4082 0.2542 0.5608
71 O 0.4098 0.1561 0.2837
72 O 0.4098 0.3439 0.7837
73 O 0.4347 0.0469 0.6306
74 O 0.4347 0.4531 0.1306
75 O 0.5653 0.5469 0.8694
76 O 0.5653 0.9531 0.3694
77 O 0.5902 0.6561 0.2163
78 O 0.5902 0.8439 0.7163
79 O 0.5918 0.7458 0.4392
80 O 0.5918 0.7542 0.9392
81 O 0.5978 0.0640 0.1911
82 O 0.5978 0.4360 0.6911
83 O 0.6182 0.6946 0.6996
84 O 0.6182 0.8054 0.1996
85 O 0.6188 0.6013 0.4859
86 O 0.6188 0.8987 0.9859
87 O 0.6612 0.5148 0.2648
88 O 0.6612 0.9852 0.7648
89 O 0.6729 0.1005 0.5855
90 O 0.6729 0.3995 0.0855
91 O 0.8153 0.5121 0.7945
92 O 0.8153 0.9879 0.2945
93 O 0.8616 0.6296 0.9673
94 O 0.8616 0.8704 0.4673
95 O 0.8689 0.1660 0.4602
96 O 0.8689 0.3340 0.9602
97 O 0.9319 0.6710 0.2285
98 O 0.9319 0.8290 0.7285
99 O 0.9349 0.0618 0.6555
100 O 0.9349 0.4382 0.1555
101 O 0.9372 0.7283 0.5216
102 O 0.9372 0.7717 0.0216
103 O 0.9723 0.0797 0.0280
104 O 0.9723 0.4203 0.5280

Crystal system ... monoclinic

***

Entry 3:
An optimized crystal structure of Li3SiSnBO7. Source: Alexandria, functional PBEsol.

Lattice parameters (Å, degrees): 5.1043 6.4998 8.4168 90.00 96.12 90.00
Element x y z (fractional)
1 Li 0.2191 0.2500 0.0989
2 Li 0.2712 0.5161 0.7511
3 Li 0.2712 0.9839 0.7511
4 Li 0.7288 0.0161 0.2489
5 Li 0.7288 0.4839 0.2489
6 Li 0.7809 0.7500 0.9011
7 Si 0.2627 0.2500 0.4196
8 Si 0.7373 0.7500 0.5804
9 Sn 0.2088 0.7500 0.3199
10 Sn 0.7912 0.2500 0.6801
11 B 0.3161 0.7500 0.0315
12 B 0.6839 0.2500 0.9685
13 O 0.0584 0.7500 0.0727
14 O 0.1465 0.2500 0.5916
15 O 0.1596 0.0601 0.3014
16 O 0.1596 0.4399 0.3014
17 O 0.3905 0.7500 0.8825
18 O 0.4134 0.7500 0.5431
19 O 0.4951 0.2500 0.8317
20 O 0.5049 0.7500 0.1683
21 O 0.5866 0.2500 0.4569
22 O 0.6095 0.2500 0.1175
23 O 0.8404 0.5601 0.6986
24 O 0.8404 0.9399 0.6986
25 O 0.8535 0.7500 0.4084
26 O 0.9416 0.2500 0.9273

Crystal system ... monoclinic

***

Entry 4:
An optimized crystal structure of Li6SmB3O9. Source: Alexandria, functional PBEsol.

Lattice parameters (Å, degrees): 7.2203 16.4166 6.6771 90.00 105.33 90.00
Element x y z (fractional)
1 Li 0.0452 0.0300 0.1704
2 Li 0.0452 0.4700 0.6704
3 Li 0.0581 0.7042 0.0464
4 Li 0.0581 0.7958 0.5464
5 Li 0.1932 0.5346 0.0557
6 Li 0.1932 0.9654 0.5557
7 Li 0.2142 0.2061 0.8661
8 Li 0.2142 0.2939 0.3661
9 Li 0.3622 0.0524 0.9169
10 Li 0.3622 0.4476 0.4169
11 Li 0.4275 0.0037 0.3235
12 Li 0.4275 0.4963 0.8235
13 Li 0.5725 0.5037 0.1765
14 Li 0.5725 0.9963 0.6765
15 Li 0.6378 0.5524 0.5831
16 Li 0.6378 0.9476 0.0831
17 Li 0.7858 0.7061 0.6339
18 Li 0.7858 0.7939 0.1339
19 Li 0.8068 0.0346 0.4443
20 Li 0.8068 0.4654 0.9443
21 Li 0.9419 0.2042 0.4536
22 Li 0.9419 0.2958 0.9536
23 Li 0.9548 0.5300 0.3296
24 Li 0.9548 0.9700 0.8296
25 Sm 0.4186 0.6897 0.8474
26 Sm 0.4186 0.8103 0.3474
27 Sm 0.5814 0.1897 0.6526
28 Sm 0.5814 0.3103 0.1526
29 B 0.0570 0.6141 0.6891
30 B 0.0570 0.8859 0.1891
31 B 0.2122 0.1197 0.5008
32 B 0.2122 0.3803 0.0008
33 B 0.4152 0.6347 0.3380
34 B 0.4152 0.8653 0.8380
35 B 0.5848 0.1347 0.1620
36 B 0.5848 0.3653 0.6620
37 B 0.7878 0.6197 0.9992
38 B 0.7878 0.8803 0.4992
39 B 0.9430 0.1141 0.8109
40 B 0.9430 0.3859 0.3109
41 O 0.0351 0.0871 0.4141
42 O 0.0351 0.4129 0.9141
43 O 0.0725 0.6974 0.7260
44 O 0.0725 0.8026 0.2260
45 O 0.1080 0.0767 0.9241
46 O 0.1080 0.4233 0.4241
47 O 0.2211 0.5676 0.7713
48 O 0.2211 0.9324 0.2713
49 O 0.2368 0.2017 0.5562
50 O 0.2368 0.2983 0.0562
51 O 0.3443 0.6838 0.1656
52 O 0.3443 0.8162 0.6656
53 O 0.3784 0.0725 0.5413
54 O 0.3784 0.4275 0.0413
55 O 0.4136 0.5522 0.3249
56 O 0.4136 0.9478 0.8249
57 O 0.4972 0.6738 0.5260
58 O 0.4972 0.8262 0.0260
59 O 0.5028 0.1738 0.9740
60 O 0.5028 0.3262 0.4740
61 O 0.5864 0.0522 0.1751
62 O 0.5864 0.4478 0.6751
63 O 0.6216 0.5725 0.9587
64 O 0.6216 0.9275 0.4587
65 O 0.6557 0.1838 0.3344
66 O 0.6557 0.3162 0.8344
67 O 0.7632 0.7017 0.9438
68 O 0.7632 0.7983 0.4438
69 O 0.7789 0.0676 0.7287
70 O 0.7789 0.4324 0.2287
71 O 0.8920 0.5767 0.5759
72 O 0.8920 0.9233 0.0759
73 O 0.9275 0.1974 0.7740
74 O 0.9275 0.3026 0.2740
75 O 0.9649 0.5871 0.0859
76 O 0.9649 0.9129 0.5859

Crystal system ... monoclinic

***

Entry 5:
An optimized crystal structure of Li2SnBO4. Source: Alexandria, functional PBEsol.

Lattice parameters (Å, degrees): 7.4863 5.0208 10.0795 90.00 98.53 90.00
Element x y z (fractional)
1 Li 0.0910 0.1538 0.2950
2 Li 0.0910 0.3462 0.7950
3 Li 0.1967 0.1793 0.5756
4 Li 0.1967 0.3207 0.0756
5 Li 0.8033 0.6793 0.9244
6 Li 0.8033 0.8207 0.4244
7 Li 0.9090 0.6538 0.2050
8 Li 0.9090 0.8462 0.7050
9 Sn 0.4922 0.1253 0.8775
10 Sn 0.4922 0.3747 0.3775
11 Sn 0.5078 0.6253 0.6225
12 Sn 0.5078 0.8747 0.1225
13 B 0.1658 0.6898 0.4385
14 B 0.1658 0.8102 0.9385
15 B 0.8342 0.1898 0.0615
16 B 0.8342 0.3102 0.5615
17 O 0.0295 0.6806 0.8624
18 O 0.0295 0.8194 0.3624
19 O 0.2025 0.0794 0.9175
20 O 0.2025 0.4206 0.4175
21 O 0.2782 0.6685 0.0401
22 O 0.2782 0.8315 0.5401
23 O 0.3787 0.1411 0.2291
24 O 0.3787 0.3589 0.7291
25 O 0.6213 0.6411 0.2709
26 O 0.6213 0.8589 0.7709
27 O 0.7218 0.1685 0.4599
28 O 0.7218 0.3315 0.9599
29 O 0.7975 0.5794 0.5825
30 O 0.7975 0.9206 0.0825
31 O 0.9705 0.1806 0.6376
32 O 0.9705 0.3194 0.1376

Crystal system ... monoclinic

***

Entry 6:
An optimized crystal structure of Li3SnB2O6. Source: Alexandria, functional PBEsol.

Lattice parameters (Å, degrees): 4.9523 7.1547 7.9159 69.32 87.80 89.91
Element x y z (fractional)
1 Li 0.1690 0.2403 0.3828
2 Li 0.1792 0.9376 0.7506
3 Li 0.3224 0.0878 0.0614
4 Li 0.6776 0.9122 0.9386
5 Li 0.8208 0.0624 0.2494
6 Li 0.8310 0.7597 0.6172
7 Sn 0.3693 0.4464 0.6716
8 Sn 0.6307 0.5536 0.3284
9 B 0.1515 0.6868 0.1069
10 B 0.3371 0.8695 0.4267
11 B 0.6629 0.1305 0.5733
12 B 0.8485 0.3132 0.8931
13 O 0.1332 0.3134 0.8910
14 O 0.1934 0.0148 0.3097
15 O 0.2217 0.7423 0.5947
16 O 0.2690 0.5178 0.2301
17 O 0.2947 0.8435 0.9939
18 O 0.3919 0.1660 0.6115
19 O 0.6081 0.8340 0.3885
20 O 0.7053 0.1565 0.0061
21 O 0.7310 0.4822 0.7699
22 O 0.7783 0.2577 0.4053
23 O 0.8066 0.9852 0.6903
24 O 0.8668 0.6866 0.1090

Crystal system ... triclinic

***

Entry 7:
An optimized crystal structure of Li2SnB2O6. Source: Alexandria, functional PBEsol.

Lattice parameters (Å, degrees): 5.0863 6.8899 7.9258 70.13 88.68 89.31
Element x y z (fractional)
1 Li 0.1340 0.2216 0.3999
2 Li 0.3202 0.0693 0.1097
3 Li 0.6798 0.9307 0.8903
4 Li 0.8660 0.7784 0.6001
5 Sn 0.3861 0.4174 0.7540
6 Sn 0.6139 0.5826 0.2460
7 B 0.1681 0.6675 0.1062
8 B 0.3634 0.8110 0.4640
9 B 0.6366 0.1890 0.5360
10 B 0.8319 0.3325 0.8938
11 O 0.0923 0.2822 0.9269
12 O 0.2266 0.6905 0.6213
13 O 0.2567 0.4711 0.2071
14 O 0.2650 0.9880 0.3584
15 O 0.3709 0.8097 0.0560
16 O 0.3974 0.2808 0.5708
17 O 0.6026 0.7192 0.4292
18 O 0.6291 0.1903 0.9440
19 O 0.7350 0.0120 0.6416
20 O 0.7433 0.5289 0.7929
21 O 0.7734 0.3095 0.3787
22 O 0.9077 0.7178 0.0731

Crystal system ... triclinic

***

Entry 8:
An optimized crystal structure of Li3SnB5O10. Source: Alexandria, functional PBEsol.

Lattice parameters (Å, degrees): 6.7813 6.8143 9.4440 85.17 88.86 75.62
Element x y z (fractional)
1 Li 0.0014 0.2710 0.0505
2 Li 0.0925 0.1315 0.7781
3 Li 0.2598 0.4749 0.2511
4 Li 0.7402 0.5251 0.7489
5 Li 0.9075 0.8685 0.2219
6 Li 0.9986 0.7290 0.9495
7 Sn 0.2750 0.0271 0.3807
8 Sn 0.7250 0.9729 0.6193
9 B 0.1482 0.7251 0.6706
10 B 0.2345 0.4161 0.5527
11 B 0.3030 0.4029 0.8077
12 B 0.3410 0.7341 0.0954
13 B 0.3769 0.2083 0.0465
14 B 0.6231 0.7917 0.9535
15 B 0.6590 0.2659 0.9046
16 B 0.6970 0.5971 0.1923
17 B 0.7655 0.5839 0.4473
18 B 0.8518 0.2749 0.3294
19 O 0.0469 0.9256 0.6623
20 O 0.1426 0.7476 0.1187
21 O 0.1797 0.6143 0.8007
22 O 0.2152 0.6260 0.5489
23 O 0.2273 0.3352 0.4278
24 O 0.2437 0.2953 0.9354
25 O 0.2541 0.3042 0.6830
26 O 0.2859 0.1893 0.1741
27 O 0.4142 0.8329 0.9766
28 O 0.4799 0.6043 0.1893
29 O 0.5201 0.3957 0.8107
30 O 0.5858 0.1671 0.0234
31 O 0.7141 0.8107 0.8259
32 O 0.7459 0.6958 0.3170
33 O 0.7563 0.7047 0.0646
34 O 0.7727 0.6648 0.5722
35 O 0.7848 0.3740 0.4511
36 O 0.8203 0.3857 0.1993
37 O 0.8574 0.2524 0.8813
38 O 0.9531 0.0744 0.3377

Crystal system ... triclinic

***

Number 1: total moment 0.0 μB per cell, raw formation energy -2.148 eV/atom, total energy -6.6033 eV per atom. Number 2: total moment 0.0 μB per cell, raw formation energy -2.245 eV/atom, total energy -7.7321 eV per atom. Number 3: total moment 0.0 μB per cell, raw formation energy -2.249 eV/atom, total energy -6.8385 eV per atom. Number 4: total moment 0.0 μB per cell, raw formation energy -2.494 eV/atom, total energy -6.9773 eV per atom. Number 5: total moment 0.0 μB per cell, raw formation energy -1.994 eV/atom, total energy -6.5196 eV per atom. Number 6: total moment 0.0 μB per cell, raw formation energy -2.116 eV/atom, total energy -6.7570 eV per atom. Number 7: total moment 0.0 μB per cell, raw formation energy -2.093 eV/atom, total energy -6.9770 eV per atom. Number 8: total moment 0.0 μB per cell, raw formation energy -2.273 eV/atom, total energy -7.4165 eV per atom.